Computed, not measured: TlCd2Fe after structural relaxation at the PBE level of DFT.

a b c (Å): 4.2846 4.2846 4.4277
angles (deg): 90.00 90.00 90.00
Atoms (fractional coordinates):
1 Tl 0.0000 0.0000 0.0000
2 Cd 0.0000 0.5000 0.5000
3 Cd 0.5000 0.0000 0.5000
4 Fe 0.5000 0.5000 0.0000

Calculated formation energy, meV per atom: 399
Space group: P4/mmm